First-principles (PBE) data for crystalline FePtSN2 at its relaxed geometry, as listed in Alexandria.

Unit cell a=3.671 b=3.671 c=8.161 alpha=90.00 beta=90.00 gamma=90.00
Space group P4/mmm (No. 123)
Asymmetric unit:
Fe (0.000, 0.000, 0.000) (multiplicity 1)
Pt (0.500, 0.500, 0.500) (multiplicity 1)
S (0.500, 0.500, 0.000) (multiplicity 1)
N (0.000, 0.500, 0.500) (multiplicity 2)

Values from the calculation:
As for the magnetization: 3.916 Bohr magnetons per cell. The total energy comes out at -5.82 eV per atom. As for the distance to the lowest polymorph of the same formula: 344 meV/atom. As for the formation energy (no corrections): 1.23 eV per atom.

First-principles (PBE) data for crystalline Sc2FePtN at its relaxed geometry, as listed in Alexandria.

Unit cell a=4.480 b=4.480 c=3.626 alpha=90.00 beta=90.00 gamma=90.00
Space group P4/mmm (No. 123)
Asymmetric unit:
Sc (0.000, 0.500, 0.000) (multiplicity 2)
Fe (0.000, 0.000, 0.500) (multiplicity 1)
Pt (0.500, 0.500, 0.500) (multiplicity 1)
N (0.000, 0.000, 0.000) (multiplicity 1)

Values from the calculation:
As for the magnetization: 1.240 Bohr magnetons per cell. The total energy comes out at -8.18 eV per atom. As for the formation energy (no corrections): -1.08 eV per atom.

First-principles (PBE) data for crystalline FePtSeN2 at its relaxed geometry, as listed in Alexandria.

Unit cell a=3.539 b=3.539 c=5.783 alpha=90.00 beta=90.00 gamma=90.00
Space group P4/mmm (No. 123)
Asymmetric unit:
Fe (0.000, 0.000, 0.000) (multiplicity 1)
Pt (0.500, 0.500, 0.500) (multiplicity 1)
Se (0.000, 0.000, 0.500) (multiplicity 1)
N (0.000, 0.500, 0.000) (multiplicity 2)

Values from the calculation:
As for the magnetization: 0.000 Bohr magnetons per cell. The total energy comes out at -6.07 eV per atom. As for the distance to the lowest polymorph of the same formula: 0 meV/atom. As for the formation energy (no corrections): 0.86 eV per atom.

First-principles (PBE) data for crystalline FePtSeN2 at its relaxed geometry, as listed in Alexandria.

Unit cell a=3.701 b=3.701 c=8.426 alpha=90.00 beta=90.00 gamma=90.00
Space group P4/mmm (No. 123)
Asymmetric unit:
Fe (0.000, 0.000, 0.000) (multiplicity 1)
Pt (0.500, 0.500, 0.500) (multiplicity 1)
Se (0.500, 0.500, 0.000) (multiplicity 1)
N (0.000, 0.500, 0.500) (multiplicity 2)

Values from the calculation:
As for the magnetization: 3.756 Bohr magnetons per cell. The total energy comes out at -5.73 eV per atom. As for the distance to the lowest polymorph of the same formula: 343 meV/atom. As for the formation energy (no corrections): 1.20 eV per atom.

First-principles (PBE) data for crystalline Sr2FePtN at its relaxed geometry, as listed in Alexandria.

Unit cell a=5.376 b=5.376 c=3.604 alpha=90.00 beta=90.00 gamma=90.00
Space group P4/mmm (No. 123)
Asymmetric unit:
Sr (0.000, 0.500, 0.000) (multiplicity 2)
Fe (0.000, 0.000, 0.500) (multiplicity 1)
Pt (0.500, 0.500, 0.500) (multiplicity 1)
N (0.000, 0.000, 0.000) (multiplicity 1)

Values from the calculation:
As for the magnetization: 1.523 Bohr magnetons per cell. The total energy comes out at -5.72 eV per atom. As for the formation energy (no corrections): -0.48 eV per atom.

First-principles (PBE) data for crystalline FeTc2PtN at its relaxed geometry, as listed in Alexandria.

Unit cell a=4.026 b=4.026 c=3.892 alpha=90.00 beta=90.00 gamma=90.00
Space group P4/mmm (No. 123)
Asymmetric unit:
Fe (0.000, 0.000, 0.000) (multiplicity 1)
Tc (0.000, 0.500, 0.500) (multiplicity 2)
Pt (0.500, 0.500, 0.000) (multiplicity 1)
N (0.000, 0.000, 0.500) (multiplicity 1)

Values from the calculation:
As for the magnetization: 1.733 Bohr magnetons per cell. The total energy comes out at -8.76 eV per atom. As for the formation energy (no corrections): -0.04 eV per atom.

First-principles (PBE) data for crystalline Fe2TcPtN at its relaxed geometry, as listed in Alexandria.

Unit cell a=3.915 b=3.915 c=3.974 alpha=90.00 beta=90.00 gamma=90.00
Space group P4/mmm (No. 123)
Asymmetric unit:
Fe (0.000, 0.500, 0.000) (multiplicity 2)
Tc (0.000, 0.000, 0.500) (multiplicity 1)
Pt (0.500, 0.500, 0.500) (multiplicity 1)
N (0.000, 0.000, 0.000) (multiplicity 1)

Values from the calculation:
As for the magnetization: 5.067 Bohr magnetons per cell. The total energy comes out at -8.41 eV per atom. As for the formation energy (no corrections): -0.07 eV per atom.

First-principles (PBE) data for crystalline Ti2FePtN at its relaxed geometry, as listed in Alexandria.

Unit cell a=4.124 b=4.124 c=3.760 alpha=90.00 beta=90.00 gamma=90.00
Space group P4/mmm (No. 123)
Asymmetric unit:
Ti (0.000, 0.500, 0.000) (multiplicity 2)
Fe (0.000, 0.000, 0.500) (multiplicity 1)
Pt (0.500, 0.500, 0.500) (multiplicity 1)
N (0.000, 0.000, 0.000) (multiplicity 1)

Values from the calculation:
As for the magnetization: 1.423 Bohr magnetons per cell. The total energy comes out at -8.68 eV per atom. As for the formation energy (no corrections): -0.95 eV per atom.

- Look up the magnetization of the second one.
  1.240 Bohr magnetons per cell

- Which of these has the lowest magnetization?
  number 3